# 1
Here is an optimized crystal structure of In3BiC from the Alexandria database. Energies are from GGA-PBEsol.

Cell: 4.793 4.793 4.793 Å, 90.00 90.00 90.00°
Fractional positions:
In 0.000 0.000 0.500
In 0.000 0.500 0.000
In 0.500 0.000 0.000
Bi 0.500 0.500 0.500
C 0.000 0.000 0.000

Values from the calculation:
Calculated density = 8.528 Mg/m³
DFT formation energy = 612 meV per atom
Symmetry = Pm-3m (221)



# 2
Here is an optimized crystal structure of KInBiC2 from the Alexandria database. Energies are from GGA-PBEsol.

Cell: 4.554 4.554 5.721 Å, 90.00 90.00 90.00°
Fractional positions:
K 0.000 0.000 0.000
In 0.500 0.500 0.500
Bi 0.500 0.500 0.000
C 0.000 0.500 0.500
C 0.500 0.000 0.500

Values from the calculation:
Calculated density = 5.415 Mg/m³
DFT formation energy = 2094 meV per atom
Symmetry = P4/mmm (123)



# 3
Here is an optimized crystal structure of Bi3IrC from the Alexandria database. Energies are from GGA-PBEsol.

Cell: 4.744 4.744 4.744 Å, 90.00 90.00 90.00°
Fractional positions:
Bi 0.000 0.000 0.500
Bi 0.000 0.500 0.000
Bi 0.500 0.000 0.000
Ir 0.500 0.500 0.500
C 0.000 0.000 0.000

Values from the calculation:
Calculated density = 12.926 Mg/m³
DFT formation energy = 1278 meV per atom
Symmetry = Pm-3m (221)



Copy entry 1 word for word.
Here is an optimized crystal structure of In3BiC from the Alexandria database. Energies are from GGA-PBEsol.

Cell: 4.793 4.793 4.793 Å, 90.00 90.00 90.00°
Fractional positions:
In 0.000 0.000 0.500
In 0.000 0.500 0.000
In 0.500 0.000 0.000
Bi 0.500 0.500 0.500
C 0.000 0.000 0.000

Values from the calculation:
Calculated density = 8.528 Mg/m³
DFT formation energy = 612 meV per atom
Symmetry = Pm-3m (221)



Q: Among the records above, which one has the lowest DFT formation energy?
A: In3BiC



Copy entry 1 word for word.
Here is an optimized crystal structure of In3BiC from the Alexandria database. Energies are from GGA-PBEsol.

Cell: 4.793 4.793 4.793 Å, 90.00 90.00 90.00°
Fractional positions:
In 0.000 0.000 0.500
In 0.000 0.500 0.000
In 0.500 0.000 0.000
Bi 0.500 0.500 0.500
C 0.000 0.000 0.000

Values from the calculation:
Calculated density = 8.528 Mg/m³
DFT formation energy = 612 meV per atom
Symmetry = Pm-3m (221)



Q: Among the records above, which one has the lowest calculated density?
A: KInBiC2